VASP calculation (PBE) on a relaxed SrTcPt2 crystal.

Its density of states at the Fermi level is 4.37 states/eV/f.u. The value obtained for the formation energy is 0.2531 eV per atom. As for the energy above the lowest structure with this stoichiometry: 0.3872 eV per atom.

The structure belongs to space group I-4m2 (No. 119); the cell edges are 4.163, 4.163 and 8.919 Å and the angles 90.00°, 90.00° and 90.00°. The inequivalent atoms are Sr at (0.000, 0.000, 0.000), Tc at (0.000, 0.500, 0.750), Pt at (0.000, 0.000, 0.500) and Pt at (0.000, 0.500, 0.250).